Computed, not measured: a geometry-optimized YMnRe2P structure at the PBE level of DFT.

```
YMnRe2P
1.0
4.6184 0.0000 0.0000
0.0000 4.6184 0.0000
0.0000 0.0000 4.2067
Y Mn Re P
1 1 2 1
Direct
0.0000 0.0000 0.0000
0.5000 0.5000 0.5000
0.0000 0.5000 0.5000
0.5000 0.0000 0.5000
0.5000 0.5000 0.0000
```

Its total DFT energy (no corrections) is -8.546 eV per atom. The formation energy comes out at 0.64 eV/atom. The total magnetization is 0.000 μB per atom.